Compound: Zr2BeIr
Source: the Alexandria database
Functional: PBE-GGA
Structure: optimized geometry

**Total DFT energy (no corrections)**: -90.19 eV/cell

Unit cell a=3.1662 b=3.1662 c=24.2395 alpha=90.00 beta=90.00 gamma=120.00
Space group R-3m (No. 166, hexagonal axes)
Symmetry-distinct sites (fractional):
Zr  0.0000  0.0000  0.2441 x6
Be  0.0000  0.0000  0.5000 x3
Ir  0.0000  0.0000  0.0000 x3



Compound: YCdFe
Source: the Alexandria database
Functional: PBE-GGA
Structure: optimized geometry

**Total DFT energy (no corrections)**: -14.81 eV/cell

Unit cell a=3.3813 b=3.3813 c=6.7180 alpha=90.00 beta=90.00 gamma=120.00
Space group P3m1 (No. 156)
Symmetry-distinct sites (fractional):
Y  0.0000  0.0000  0.0000 x1
Cd  0.3333  0.6667  0.3976 x1
Fe  0.6667  0.3333  0.6915 x1



| no. | spin magnetization (μB per formula unit) | Fermi-level density of states (states/eV/cell) | volume (Å³ per cell) |
| --- | --- | --- | --- |
| 1 | 0.00 | 3.22 | 210 |
| 2 | 1.97 | 4.39 | 67 |